(1)
VASP calculation (meta-GGA SCAN) on LaBe2Pb at its PBEsol-relaxed geometry.

Unit cell a=3.2281 b=3.2281 c=7.4370 alpha=90.00 beta=90.00 gamma=90.00
Space group P4mm (No. 99)
Unique sites:
La  0.0000  0.0000  0.0000
Be  0.0000  0.0000  0.6091
Be  0.5000  0.5000  0.7134
Pb  0.5000  0.5000  0.3564

Output
Final energy in eV per cell: -126.77
ΔH_f (0 K) in meV per atom: 205
V in Å³ per atom: 19.37

=====

(2)
VASP calculation (meta-GGA SCAN) on La3BePb at its PBEsol-relaxed geometry.

Unit cell a=5.9891 b=5.9891 c=5.9891 alpha=90.00 beta=90.00 gamma=90.00
Space group Pm-3m (No. 221)
Unique sites:
La  0.0000  0.0000  0.5000
Be  0.5000  0.5000  0.5000
Pb  0.0000  0.0000  0.0000

Output
Final energy in eV per cell: -206.64
ΔH_f (0 K) in meV per atom: 562
V in Å³ per atom: 42.97

=====

(3)
VASP calculation (meta-GGA SCAN) on LaBePb2 at its PBEsol-relaxed geometry.

Unit cell a=4.7041 b=4.7041 c=4.5446 alpha=90.00 beta=90.00 gamma=90.00
Space group P4/mmm (No. 123)
Unique sites:
La  0.0000  0.0000  0.0000
Be  0.5000  0.5000  0.0000
Pb  0.0000  0.5000  0.5000

Output
Final energy in eV per cell: -199.71
ΔH_f (0 K) in meV per atom: -173
V in Å³ per atom: 25.14

=====

(4)
VASP calculation (meta-GGA SCAN) on LaBePb2 at its PBEsol-relaxed geometry.

Unit cell a=11.2775 b=4.1698 c=4.8033 alpha=90.00 beta=115.03 gamma=90.00
Space group Cm (No. 8)
Unique sites:
La  0.0000  0.0000  0.0000
Be  0.2424  0.5000  0.3289
Pb  0.2165  0.0000  0.7127
Pb  0.4164  0.0000  0.4141

Output
Final energy in eV per cell: -399.03
ΔH_f (0 K) in meV per atom: -124
V in Å³ per atom: 25.58

=====

(5)
VASP calculation (meta-GGA SCAN) on LaBePb4 at its PBEsol-relaxed geometry.

Unit cell a=8.9014 b=8.9014 c=8.9014 alpha=90.00 beta=90.00 gamma=90.00
Space group F-43m (No. 216)
Unique sites:
La  0.0000  0.0000  0.0000
Be  0.2500  0.2500  0.7500
Pb  0.1252  0.1252  0.3748

Output
Final energy in eV per cell: -1397.50
ΔH_f (0 K) in meV per atom: 201
V in Å³ per atom: 29.39

=====

(6)
VASP calculation (meta-GGA SCAN) on La2BePb at its PBEsol-relaxed geometry.

Unit cell a=3.6996 b=4.8862 c=6.5047 alpha=90.00 beta=90.00 gamma=90.00
Space group Pmm2 (No. 25)
Unique sites:
La  0.0000  0.0000  0.0000
La  0.5000  0.5000  0.3502
Be  0.5000  0.5000  0.8833
Pb  0.0000  0.0000  0.5257

Output
Final energy in eV per cell: -166.24
ΔH_f (0 K) in meV per atom: 26
V in Å³ per atom: 29.40

=====

(7)
VASP calculation (meta-GGA SCAN) on La2BePb at its PBEsol-relaxed geometry.

Unit cell a=3.6356 b=3.6356 c=29.2200 alpha=90.00 beta=90.00 gamma=120.00
Space group R-3m (No. 166, hexagonal axes)
Unique sites:
La  0.0000  0.0000  0.2371
Be  0.0000  0.0000  0.5000
Pb  0.0000  0.0000  0.0000

Output
Final energy in eV per cell: -498.93
ΔH_f (0 K) in meV per atom: 9
V in Å³ per atom: 27.87

=====

(8)
VASP calculation (meta-GGA SCAN) on LaBePd3 at its PBEsol-relaxed geometry.

Unit cell a=4.3948 b=4.3948 c=4.3948 alpha=90.00 beta=90.00 gamma=90.00
Space group Pm-3m (No. 221)
Unique sites:
La  0.0000  0.0000  0.0000
Be  0.5000  0.5000  0.5000
Pd  0.0000  0.5000  0.5000

Output
Final energy in eV per cell: -149.40
ΔH_f (0 K) in meV per atom: -723
V in Å³ per atom: 16.98

=====

(9)
VASP calculation (meta-GGA SCAN) on LaBe2Pd2 at its PBEsol-relaxed geometry.

Unit cell a=4.0130 b=4.0130 c=10.1023 alpha=90.00 beta=90.00 gamma=90.00
Space group I4/mmm (No. 139)
Unique sites:
La  0.0000  0.0000  0.0000
Be  0.0000  0.5000  0.2500
Pd  0.0000  0.0000  0.3619

Output
Final energy in eV per cell: -241.12
ΔH_f (0 K) in meV per atom: -640
V in Å³ per atom: 16.27

=====

(10)
VASP calculation (meta-GGA SCAN) on LaBePd2W at its PBEsol-relaxed geometry.

Unit cell a=4.9087 b=4.9087 c=4.9668 alpha=90.00 beta=90.00 gamma=90.00
Space group P4/mmm (No. 123)
Unique sites:
La  0.0000  0.0000  0.0000
Be  0.5000  0.5000  0.5000
Pd  0.0000  0.5000  0.0000
W  0.0000  0.0000  0.5000

Output
Final energy in eV per cell: -172.04
ΔH_f (0 K) in meV per atom: 2132
V in Å³ per atom: 23.94

=====

(11)
VASP calculation (meta-GGA SCAN) on LaBePt2 at its PBEsol-relaxed geometry.

Unit cell a=3.7997 b=5.4381 c=7.2541 alpha=90.00 beta=90.00 gamma=90.00
Space group Immm (No. 71)
Unique sites:
La  0.0000  0.0000  0.0000
Be  0.0000  0.0000  0.5000
Pt  0.0000  0.5000  0.1875

Output
Final energy in eV per cell: -382.00
ΔH_f (0 K) in meV per atom: -789
V in Å³ per atom: 18.74

=====

(12)
VASP calculation (meta-GGA SCAN) on LaBePt2 at its PBEsol-relaxed geometry.

Unit cell a=4.0646 b=4.0646 c=15.5830 alpha=90.00 beta=90.00 gamma=120.00
Space group R-3m (No. 166, hexagonal axes)
Unique sites:
La  0.0000  0.0000  0.0000
Be  0.0000  0.0000  0.5000
Pt  0.0000  0.0000  0.2102

Output
Final energy in eV per cell: -576.48
ΔH_f (0 K) in meV per atom: -1079
V in Å³ per atom: 18.58

=====

> What is the ΔH_f (0 K) in the third record?

-173 meV per atom

=====

> What is the formula in the first record?

LaBe2Pb